Entry 1:
The following is a GGA-PBE calculation of a relaxed structure of Sm11Cd9Au4, from Alexandria.

As for the total magnetization: 0.01 μB/f.u. For the formation energy from the elements, the calculation gives -0.50 eV/atom. The density of states at the Fermi level is 42.430 states/eV per cell.

The structure belongs to space group Cmmm (No. 65); the cell edges are 15.029, 22.545 and 3.756 Å and the angles 90.00°, 90.00° and 90.00°. Symmetry generates all atoms from Sm at (0.000, 0.000, 0.000), Sm at (0.000, 0.163, 0.000), Sm at (0.000, 0.366, 0.000), Sm at (0.203, 0.500, 0.000), Sm at (0.241, 0.172, 0.000), Cd at (0.000, 0.500, 0.500), Cd at (0.104, 0.261, 0.500), Cd at (0.140, 0.072, 0.500) and Au at (0.150, 0.401, 0.500).

---

Entry 2:
The following is a GGA-PBE calculation of a relaxed structure of Sm3CdAu5, from Alexandria.

As for the total magnetization: 0.00 μB/f.u. For the formation energy from the elements, the calculation gives -0.73 eV/atom. The density of states at the Fermi level is 10.362 states/eV per cell.

The structure belongs to space group P6_3/mcm (No. 193); the cell edges are 8.8261, 8.8261 and 6.1785 Å and the angles 90.00°, 90.00° and 120.00°. Symmetry generates all atoms from Sm at (0.0000, 0.3570, 0.2500), Cd at (0.0000, 0.0000, 0.0000), Au at (0.0000, 0.3078, 0.7500) and Au at (0.3333, 0.6667, 0.0000).